Entry 1:
Ho2TeCl: optimized geometry, PBE.

```
data_Ho2TeCl
_space_group_name_H-M_alt 'R 3 m'
_space_group_IT_number 160
_space_group_name_Hall 'R 3 -2"'
_cell_length_a 3.8070
_cell_length_b 3.8070
_cell_length_c 24.6316
_cell_angle_alpha 90.00
_cell_angle_beta 90.00
_cell_angle_gamma 120.00
loop_
_atom_site_label
_atom_site_type_symbol
_atom_site_fract_x
_atom_site_fract_y
_atom_site_fract_z
Ho1 Ho 0.0000 0.0000 0.0000
Ho2 Ho 0.0000 0.0000 0.1639
Te1 Te 0.0000 0.0000 0.5822
Cl1 Cl 0.0000 0.0000 0.7489
```


Entry 2:
Mg2FeMo3S8: optimized geometry, PBE.

```
data_Mg2FeMo3S8
_space_group_name_H-M_alt 'R -3 m'
_space_group_IT_number 166
_space_group_name_Hall '-R 3 2"'
_cell_length_a 7.4220
_cell_length_b 7.4220
_cell_length_c 17.6452
_cell_angle_alpha 90.00
_cell_angle_beta 90.00
_cell_angle_gamma 120.00
loop_
_atom_site_label
_atom_site_type_symbol
_atom_site_fract_x
_atom_site_fract_y
_atom_site_fract_z
Mg1 Mg 0.0000 0.0000 0.1208
Fe1 Fe 0.0000 0.0000 0.5000
Mo1 Mo 0.0000 0.5000 0.0000
S1 S 0.0000 0.0000 0.2597
S2 S 0.0316 0.5158 0.2530
```


no.,formation energy from raw total energies (eV per atom),total magnetic moment (μB/f.u.)
1,-1.091,0.0
2,-0.572,10.8